Entry 1:
{"formula": "ReAgW2", "functional": "PBE-GGA", "state": "relaxed", "lattice_angstrom": [[3.9875, 0.0000, 0.0000], [0.0000, 3.9875, 0.0000], [0.0000, 0.0000, 3.9914]], "species": ["Re", "Ag", "W", "W"], "fractional_positions": [[0.0000, 0.0000, 0.0000], [0.5000, 0.5000, 0.0000], [0.0000, 0.5000, 0.5000], [0.5000, 0.0000, 0.5000]], "spacegroup": "P4/mmm", "de_polymorph_ev_per_atom": 0.140, "ef_kj_per_mol_atoms": 47.55, "total_energy_ev_per_cell": -39.234}



Entry 2:
{"formula": "ReAgW2", "functional": "PBE-GGA", "state": "relaxed", "lattice_angstrom": [[2.6937, 0.0000, 0.0000], [0.0000, 4.5505, 0.0000], [-0.8994, 0.0000, 5.2648]], "species": ["Re", "Ag", "W", "W"], "fractional_positions": [[0.0000, 0.0000, 0.0000], [0.1131, 0.5000, 0.7217], [0.4811, 0.0000, 0.4869], [0.7309, 0.5000, 0.2135]], "spacegroup": "Pm", "de_polymorph_ev_per_atom": 0.111, "ef_kj_per_mol_atoms": 44.73, "total_energy_ev_per_cell": -39.351}